Record 1
## TePtRh2 (PBE)

Data for TePtRh2 after structural relaxation.

extended XYZ file:
```
4
Lattice="3.144 0.000 0.000 0.000 3.788 0.000 0.000 0.000 5.647" Properties=species:S:1:pos:R:3 pbc="T T T"
Te 0.000 0.000 0.000
Pt 1.572 1.894 1.691
Rh 0.000 0.000 2.937
Rh 1.572 1.894 4.360
```

## Properties
ΔE_f (raw) in eV per atom: 0.091
Crystal system: orthorhombic

Record 2
## TePtRh2 (PBE)

Data for TePtRh2 after structural relaxation.

extended XYZ file:
```
4
Lattice="3.619 0.000 0.000 0.000 4.252 0.000 0.000 0.000 4.283" Properties=species:S:1:pos:R:3 pbc="T T T"
Te 0.000 0.000 0.000
Pt 0.000 2.126 2.424
Rh 1.810 0.000 2.161
Rh 1.810 2.126 0.329
```

## Properties
ΔE_f (raw) in eV per atom: 0.019
Crystal system: orthorhombic

For reference, size of the total moment by record: 0.00, 0.00 μB per formula unit.